## HoScGa6 (PBE)

Data for a geometry-optimized HoScGa6 structure.

Cell lengths 4.669, 6.055, 10.455 Å; angles 90.00, 90.00, 90.00 degrees
Fractional positions:
Ho 0.000 0.000 0.000
Ho 0.000 0.500 0.500
Sc 0.500 0.000 0.668
Sc 0.500 0.500 0.168
Ga 0.000 0.000 0.491
Ga 0.000 0.235 0.255
Ga 0.000 0.265 0.755
Ga 0.000 0.500 0.991
Ga 0.000 0.735 0.755
Ga 0.000 0.765 0.255
Ga 0.500 0.000 0.183
Ga 0.500 0.225 0.409
Ga 0.500 0.275 0.909
Ga 0.500 0.500 0.683
Ga 0.500 0.725 0.909
Ga 0.500 0.775 0.409

* ΔE to the lowest computed polymorph: 0.051 eV/atom
* calculated formation energy: -466 meV per atom
* crystal system: orthorhombic